# Ac4PrEr PBE relaxed
# size of the total moment	0.0	μB/f.u.
# energy above the lowest structure with this stoichiometry	0	meV per atom
# DFT formation energy	42	meV/atom
data_Ac4PrEr
_space_group_name_H-M_alt 'C m m m'
_space_group_IT_number 65
_space_group_name_Hall '-C 2 2'
_cell_length_a 5.5292
_cell_length_b 16.2514
_cell_length_c 5.4810
_cell_angle_alpha 90.00
_cell_angle_beta 90.00
_cell_angle_gamma 90.00
loop_
_atom_site_label
_atom_site_fract_x
_atom_site_fract_y
_atom_site_fract_z
Ac1 0.0000 0.1607 0.0000
Ac2 0.0000 0.3385 0.5000
Pr1 0.0000 0.5000 0.0000
Er1 0.0000 0.0000 0.5000



# Ac2Pr9Er PBE relaxed
# size of the total moment	0.0	μB/f.u.
# DFT formation energy	110	meV/atom
data_Ac2Pr9Er
_space_group_name_H-M_alt 'P 4/m m m'
_space_group_IT_number 123
_space_group_name_Hall '-P 4 2'
_cell_length_a 6.2086
_cell_length_b 6.2086
_cell_length_c 11.5313
_cell_angle_alpha 90.00
_cell_angle_beta 90.00
_cell_angle_gamma 90.00
loop_
_atom_site_label
_atom_site_fract_x
_atom_site_fract_y
_atom_site_fract_z
Ac1 0.0000 0.0000 0.1702
Pr1 0.0000 0.5000 0.0000
Pr2 0.0000 0.5000 0.3425
Pr3 0.5000 0.5000 0.1623
Pr4 0.5000 0.5000 0.5000
Er1 0.0000 0.0000 0.5000



# AcPr3Er2 PBE relaxed
# size of the total moment	0.0	μB/f.u.
# energy above the lowest structure with this stoichiometry	0	meV per atom
# DFT formation energy	41	meV/atom
data_AcPr3Er2
_space_group_name_H-M_alt 'F d d d'
_space_group_IT_number 70
_cell_length_a 7.4162
_cell_length_b 10.4144
_cell_length_c 22.1195
_cell_angle_alpha 90.00
_cell_angle_beta 90.00
_cell_angle_gamma 90.00
loop_
_space_group_symop_operation_xyz
'x,y,z'
'-x,-y,-z'
'-x+1/4,-y+1/4,z'
'x+1/4,y+1/4,-z'
'x,-y+1/4,-z+1/4'
'-x,y+1/4,z+1/4'
'-x+1/4,y,-z+1/4'
'x+1/4,-y,z+1/4'
'x,y+1/2,z+1/2'
'-x,-y+1/2,-z+1/2'
'-x+1/4,-y+3/4,z+1/2'
'x+1/4,y+3/4,-z+1/2'
'x,-y+3/4,-z+3/4'
'-x,y+3/4,z+3/4'
'-x+1/4,y+1/2,-z+3/4'
'x+1/4,-y+1/2,z+3/4'
'x+1/2,y,z+1/2'
'-x+1/2,-y,-z+1/2'
'-x+3/4,-y+1/4,z+1/2'
'x+3/4,y+1/4,-z+1/2'
'x+1/2,-y+1/4,-z+3/4'
'-x+1/2,y+1/4,z+3/4'
'-x+3/4,y,-z+3/4'
'x+3/4,-y,z+3/4'
'x+1/2,y+1/2,z'
'-x+1/2,-y+1/2,-z'
'-x+3/4,-y+3/4,z'
'x+3/4,y+3/4,-z'
'x+1/2,-y+3/4,-z+1/4'
'-x+1/2,y+3/4,z+1/4'
'-x+3/4,y+1/2,-z+1/4'
'x+3/4,-y+1/2,z+1/4'
loop_
_atom_site_label
_atom_site_fract_x
_atom_site_fract_y
_atom_site_fract_z
Ac1 0.1250 0.1250 0.1250
Pr1 0.1250 0.1250 0.4595
Pr2 0.1250 0.1250 0.6250
Er1 0.1250 0.1250 0.2909



# Ac6Pr3Er2 PBE relaxed
# size of the total moment	0.0	μB/f.u.
# DFT formation energy	47	meV/atom
data_Ac6Pr3Er2
_space_group_name_H-M_alt 'P -1'
_space_group_IT_number 2
_cell_length_a 6.6376
_cell_length_b 8.5535
_cell_length_c 8.5625
_cell_angle_alpha 107.21
_cell_angle_beta 97.45
_cell_angle_gamma 104.88
loop_
_space_group_symop_operation_xyz
'x,y,z'
'-x,-y,-z'
loop_
_atom_site_label
_atom_site_fract_x
_atom_site_fract_y
_atom_site_fract_z
Ac1 0.0537 0.1806 0.4025
Ac2 0.1356 0.5494 0.2304
Ac3 0.3218 0.2645 0.8699
Pr1 0.4066 0.6439 0.6859
Pr2 0.5000 0.0000 0.5000
Er1 0.2319 0.9135 0.0459



# AcPr6Er2 PBE relaxed
# size of the total moment	0.0	μB/f.u.
# energy above the lowest structure with this stoichiometry	0	meV per atom
# DFT formation energy	55	meV/atom
data_AcPr6Er2
_space_group_name_H-M_alt 'C m m m'
_space_group_IT_number 65
_space_group_name_Hall '-C 2 2'
_cell_length_a 5.8494
_cell_length_b 10.0975
_cell_length_c 10.8489
_cell_angle_alpha 90.00
_cell_angle_beta 90.00
_cell_angle_gamma 90.00
loop_
_atom_site_label
_atom_site_fract_x
_atom_site_fract_y
_atom_site_fract_z
Ac1 0.0000 0.0000 0.0000
Pr1 0.0000 0.0000 0.3422
Pr2 0.0000 0.3330 0.1766
Er1 0.0000 0.3332 0.5000



# Ac2PrEr3 PBE relaxed
# size of the total moment	0.0	μB/f.u.
# DFT formation energy	142	meV/atom
data_Ac2PrEr3
_space_group_name_H-M_alt 'C 1 2/c 1'
_space_group_IT_number 15
_cell_length_a 16.3207
_cell_length_b 7.5430
_cell_length_c 7.4509
_cell_angle_alpha 90.00
_cell_angle_beta 103.16
_cell_angle_gamma 90.00
loop_
_space_group_symop_operation_xyz
'x,y,z'
'-x,-y,-z'
'-x,y,-z+1/2'
'x,-y,z+1/2'
'x+1/2,y+1/2,z'
'-x+1/2,-y+1/2,-z'
'-x+1/2,y+1/2,-z+1/2'
'x+1/2,-y+1/2,z+1/2'
loop_
_atom_site_label
_atom_site_fract_x
_atom_site_fract_y
_atom_site_fract_z
Ac1 0.1836 0.0046 0.0925
Pr1 0.0000 0.2107 0.7500
Er1 0.0000 0.2152 0.2500
Er2 0.1159 0.4982 0.5576



# AcPr6Er12 PBE relaxed
# size of the total moment	0.0	μB/f.u.
# DFT formation energy	211	meV/atom
data_AcPr6Er12
_space_group_name_H-M_alt 'R -3 m'
_space_group_IT_number 166
_space_group_name_Hall '-R 3 2"'
_cell_length_a 13.3699
_cell_length_b 13.3699
_cell_length_c 12.6344
_cell_angle_alpha 90.00
_cell_angle_beta 90.00
_cell_angle_gamma 120.00
loop_
_atom_site_label
_atom_site_fract_x
_atom_site_fract_y
_atom_site_fract_z
Ac1 0.0000 0.0000 0.0000
Pr1 0.0314 0.5157 0.6192
Er1 0.0000 0.2566 0.5000
Er2 0.0923 0.1846 0.2641



# Ac2Pr6Er5 PBE relaxed
# size of the total moment	0.0	μB/f.u.
# DFT formation energy	114	meV/atom
data_Ac2Pr6Er5
_space_group_name_H-M_alt 'P b a m'
_space_group_IT_number 55
_cell_length_a 12.1311
_cell_length_b 20.6850
_cell_length_c 3.7195
_cell_angle_alpha 90.00
_cell_angle_beta 90.00
_cell_angle_gamma 90.00
loop_
_space_group_symop_operation_xyz
'x,y,z'
'-x,-y,-z'
'-x,-y,z'
'x,y,-z'
'x+1/2,-y+1/2,-z'
'-x+1/2,y+1/2,z'
'-x+1/2,y+1/2,-z'
'x+1/2,-y+1/2,z'
loop_
_atom_site_label
_atom_site_fract_x
_atom_site_fract_y
_atom_site_fract_z
Ac1 0.1605 0.2193 0.0000
Pr1 0.0557 0.9236 0.0000
Pr2 0.0778 0.6361 0.0000
Pr3 0.1802 0.3807 0.5000
Er1 0.0000 0.5000 0.5000
Er2 0.1001 0.7796 0.5000
Er3 0.2021 0.0538 0.5000



# AcPr2Er9 PBE relaxed
# size of the total moment	0.0	μB/f.u.
# DFT formation energy	42	meV/atom
data_AcPr2Er9
_space_group_name_H-M_alt 'P 4/m m m'
_space_group_IT_number 123
_space_group_name_Hall '-P 4 2'
_cell_length_a 5.0650
_cell_length_b 5.0650
_cell_length_c 15.2032
_cell_angle_alpha 90.00
_cell_angle_beta 90.00
_cell_angle_gamma 90.00
loop_
_atom_site_label
_atom_site_fract_x
_atom_site_fract_y
_atom_site_fract_z
Ac1 0.0000 0.0000 0.0000
Pr1 0.0000 0.0000 0.3346
Er1 0.0000 0.5000 0.1719
Er2 0.0000 0.5000 0.5000
Er3 0.5000 0.5000 0.0000
Er4 0.5000 0.5000 0.3356



# AcPr4Er7 PBE relaxed
# size of the total moment	0.0	μB/f.u.
# energy above the lowest structure with this stoichiometry	213	meV per atom
# DFT formation energy	291	meV/atom
data_AcPr4Er7
_space_group_name_H-M_alt 'C 1 2/m 1'
_space_group_IT_number 12
_cell_length_a 12.3634
_cell_length_b 6.0769
_cell_length_c 12.7894
_cell_angle_alpha 90.00
_cell_angle_beta 118.82
_cell_angle_gamma 90.00
loop_
_space_group_symop_operation_xyz
'x,y,z'
'-x,-y,-z'
'-x,y,-z'
'x,-y,z'
'x+1/2,y+1/2,z'
'-x+1/2,-y+1/2,-z'
'-x+1/2,y+1/2,-z'
'x+1/2,-y+1/2,z'
loop_
_atom_site_label
_atom_site_fract_x
_atom_site_fract_y
_atom_site_fract_z
Ac1 0.0000 0.0000 0.0000
Pr1 0.0654 0.5000 0.3269
Pr2 0.1451 0.0000 0.7763
Er1 0.0000 0.5000 0.0000
Er2 0.1327 0.0000 0.4992
Er3 0.2053 0.5000 0.9219
Er4 0.2292 0.5000 0.6692



Going through the records in order, we get total DFT energy (no corrections) values of -4.2543 -4.5392 -4.5549 -4.3272 -4.6018 -4.3053 -4.3960 -4.4792 -4.5193 -4.3063 eV per atom.
Going through the records in order, we get N(E_F) values of 21.562 26.041 79.214 18.274 24.652 30.091 89.784 33.572 18.140 39.077 states/eV/cell.
Going through the records in order, we get ρ values of 8.2 7.1 7.7 8.0 7.3 8.2 7.8 7.6 8.6 7.7 g/cm³.